Entry 1:
Below is an optimized crystal structure of Sc2TlP, with properties calculated at the PBE-GGA level.

abc: 6.903 6.903 6.903
angles: 90.00 90.00 90.00
Space group Fm-3m (No. 225)
Inequivalent atoms, fractional coordinates:
Sc  0.250  0.250  0.250 x8
Tl  0.000  0.000  0.000 x4
P  0.000  0.000  0.500 x4

Energy of formation from the pure elements = -0.373 eV/atom
DOS at the Fermi energy = 27.31 states/eV/cell
Calculated density = 6.568 Mg/m³
Calculated total energy = -5.483 eV/atom
Calculated volume = 20.56 A^3/atom

---

Entry 2:
Below is an optimized crystal structure of Sc3TlP, with properties calculated at the PBE-GGA level.

abc: 4.6366 4.6366 14.3670
angles: 90.00 90.00 120.00
Space group P6_3/mmc (No. 194)
Inequivalent atoms, fractional coordinates:
Sc  0.0000  0.0000  0.2500 x2
Sc  0.3333  0.6667  0.0746 x4
Tl  0.0000  0.0000  0.0000 x2
P  0.3333  0.6667  0.2500 x2

Energy of formation from the pure elements = -0.442 eV/atom
DOS at the Fermi energy = 9.82 states/eV/cell
Calculated density = 4.597 Mg/m³
Calculated total energy = -5.796 eV/atom
Calculated volume = 26.75 A^3/atom

---

Entry 3:
Below is an optimized crystal structure of Sc2TlP, with properties calculated at the PBE-GGA level.

abc: 6.347 3.671 7.909
angles: 90.00 105.69 90.00
Space group C2/m (No. 12)
Inequivalent atoms, fractional coordinates:
Sc  0.232  0.000  0.194 x4
Tl  0.000  0.000  0.500 x2
P  0.000  0.500  0.000 x2

Energy of formation from the pure elements = -0.902 eV/atom
DOS at the Fermi energy = 4.82 states/eV/cell
Calculated density = 6.090 Mg/m³
Calculated total energy = -6.012 eV/atom
Calculated volume = 22.17 A^3/atom